Record 1
A plane-wave DFT calculation with PBE was carried out for a geometry-optimized AcInSb2Rh5 structure.

Properties
- Formation energy from raw total energies: -0.367 eV/atom
- E: -6.13 eV/atom
- Calculated volume: 22.48 Å³ per atom

Cell and atoms, written as POSCAR:
```
AcInSb2Rh5
1.0
4.2120 0.0000 0.0000
0.0000 4.2120 0.0000
0.0000 0.0000 11.4032
Ac In Sb Rh
1 1 2 5
Direct
0.0000 0.0000 0.0000
0.0000 0.0000 0.5000
0.5000 0.5000 0.2253
0.5000 0.5000 0.7747
0.0000 0.5000 0.3523
0.0000 0.5000 0.6477
0.5000 0.0000 0.3523
0.5000 0.0000 0.6477
0.5000 0.5000 0.0000
```


Record 2
A plane-wave DFT calculation with PBE was carried out for a geometry-optimized NaNd2US6 structure.

Properties
- Formation energy from raw total energies: -1.644 eV/atom
- E: -6.33 eV/atom
- Calculated volume: 27.11 Å³ per atom

Cell and atoms, written as POSCAR:
```
NaNd2US6
1.0
3.5402 2.0440 6.2437
-3.5402 2.0440 6.2437
0.0000 -4.0879 6.2437
Na Nd U S
1 2 1 6
Direct
0.0000 0.0000 0.0000
0.2061 0.2061 0.2061
0.7180 0.7180 0.7180
0.5163 0.5163 0.5163
0.1445 0.4069 0.7771
0.3255 0.8937 0.5981
0.4069 0.7771 0.1445
0.5981 0.3255 0.8937
0.7771 0.1445 0.4069
0.8937 0.5981 0.3255
```


Record 3
A plane-wave DFT calculation with PBE was carried out for a geometry-optimized Ca2MgTe structure.

Properties
- Formation energy from raw total energies: -0.241 eV/atom
- E above lowest polymorph: 472 meV per atom
- E: -2.43 eV/atom
- Calculated volume: 31.40 Å³ per atom

Cell and atoms, written as POSCAR:
```
Ca2MgTe
1.0
7.9494 0.0000 0.0000
0.0000 7.9494 0.0000
0.0000 0.0000 7.9494
Ca Mg Te
8 4 4
Direct
0.0000 0.0000 0.0000
0.0000 0.5000 0.5000
0.2500 0.2500 0.2500
0.2500 0.7500 0.7500
0.5000 0.0000 0.5000
0.5000 0.5000 0.0000
0.7500 0.2500 0.7500
0.7500 0.7500 0.2500
0.0000 0.0000 0.5000
0.0000 0.5000 0.0000
0.5000 0.0000 0.0000
0.5000 0.5000 0.5000
0.2500 0.2500 0.7500
0.2500 0.7500 0.2500
0.7500 0.2500 0.2500
0.7500 0.7500 0.7500
```


Record 4
A plane-wave DFT calculation with PBE was carried out for a geometry-optimized La2Ir structure.

Properties
- E: -6.78 eV/atom
- Energy relative to the elements: -0.537 eV/atom
- Calculated volume: 27.70 Å³ per atom

Cell and atoms, written as POSCAR:
```
La2Ir
1.0
7.6843 0.0000 0.0000
-3.8422 6.6548 0.0000
0.0000 0.0000 4.8751
La Ir
6 3
Direct
0.0000 0.2680 0.0000
0.0000 0.5965 0.5000
0.2680 0.0000 0.0000
0.4035 0.4035 0.5000
0.5965 0.0000 0.5000
0.7320 0.7320 0.0000
0.0000 0.0000 0.5000
0.3333 0.6667 0.0000
0.6667 0.3333 0.0000
```


Record 5
A plane-wave DFT calculation with PBE was carried out for a geometry-optimized Cs3AsPt structure.

Properties
- E above lowest polymorph: 0 meV per atom
- E: -2.89 eV/atom
- Energy relative to the elements: -0.238 eV/atom
- Calculated volume: 53.82 Å³ per atom

Cell and atoms, written as POSCAR:
```
Cs3AsPt
1.0
7.0652 -8.0900 0.0000
7.0652 8.0900 0.0000
0.0000 0.0000 4.7077
Cs As Pt
6 2 2
Direct
0.1491 0.8509 0.7500
0.2047 0.4427 0.7500
0.4427 0.2047 0.2500
0.5573 0.7953 0.7500
0.7953 0.5573 0.2500
0.8509 0.1491 0.2500
0.3092 0.6908 0.2500
0.6908 0.3092 0.7500
0.4546 0.5454 0.2500
0.5454 0.4546 0.7500
```


Record 6
A plane-wave DFT calculation with PBE was carried out for a geometry-optimized La2TaCo structure.

Properties
- E above lowest polymorph: 472 meV per atom
- E: -6.63 eV/atom
- Energy relative to the elements: 0.578 eV/atom
- Calculated volume: 24.23 Å³ per atom

Cell and atoms, written as POSCAR:
```
La2TaCo
1.0
7.2919 0.0000 0.0000
0.0000 7.2919 0.0000
0.0000 0.0000 7.2919
La Ta Co
8 4 4
Direct
0.2500 0.2500 0.2500
0.2500 0.2500 0.7500
0.2500 0.7500 0.2500
0.2500 0.7500 0.7500
0.7500 0.2500 0.2500
0.7500 0.2500 0.7500
0.7500 0.7500 0.2500
0.7500 0.7500 0.7500
0.0000 0.0000 0.0000
0.0000 0.5000 0.5000
0.5000 0.0000 0.5000
0.5000 0.5000 0.0000
0.0000 0.0000 0.5000
0.0000 0.5000 0.0000
0.5000 0.0000 0.0000
0.5000 0.5000 0.5000
```


Record 7
A plane-wave DFT calculation with PBE was carried out for a geometry-optimized HgTe3 structure.

Properties
- Formation energy from raw total energies: 0.327 eV/atom
- E: -2.10 eV/atom
- Calculated volume: 29.76 Å³ per atom

Cell and atoms, written as POSCAR:
```
HgTe3
1.0
3.4332 0.0000 0.0000
-1.7166 2.9732 0.0000
0.0000 0.0000 34.9830
Hg Te
3 9
Direct
0.0000 0.0000 0.0000
0.3333 0.6667 0.6667
0.6667 0.3333 0.3333
0.0000 0.0000 0.2412
0.0000 0.0000 0.5000
0.0000 0.0000 0.7588
0.3333 0.6667 0.1667
0.3333 0.6667 0.4255
0.3333 0.6667 0.9079
0.6667 0.3333 0.0921
0.6667 0.3333 0.5745
0.6667 0.3333 0.8333
```


Record 8
A plane-wave DFT calculation with PBE was carried out for a geometry-optimized ZnGaCuS2 structure.

Properties
- Formation energy from raw total energies: 0.603 eV/atom
- E: -2.73 eV/atom
- Calculated volume: 21.66 Å³ per atom

Cell and atoms, written as POSCAR:
```
ZnGaCuS2
1.0
4.7824 0.0000 0.0000
0.0000 4.7824 0.0000
0.0000 0.0000 4.7351
Zn Ga Cu S
1 1 1 2
Direct
0.0000 0.0000 0.0000
0.0000 0.0000 0.5000
0.5000 0.5000 0.0000
0.0000 0.5000 0.5000
0.5000 0.0000 0.5000
```


Record 9
A plane-wave DFT calculation with PBE was carried out for a geometry-optimized K3TcHg structure.

Properties
- E: -1.77 eV/atom
- Energy relative to the elements: 1.023 eV/atom
- Calculated volume: 51.58 Å³ per atom

Cell and atoms, written as POSCAR:
```
K3TcHg
1.0
6.3653 0.0000 0.0000
0.0000 6.3653 0.0000
0.0000 0.0000 6.3653
K Tc Hg
3 1 1
Direct
0.0000 0.0000 0.5000
0.0000 0.5000 0.0000
0.5000 0.0000 0.0000
0.0000 0.0000 0.0000
0.5000 0.5000 0.5000
```


Record 10
A plane-wave DFT calculation with PBE was carried out for a geometry-optimized Pr3Ho12Zr structure.

Properties
- E: -4.82 eV/atom
- Energy relative to the elements: 0.039 eV/atom
- Calculated volume: 31.28 Å³ per atom

Cell and atoms, written as POSCAR:
```
Pr3Ho12Zr
1.0
4.9973 0.0000 0.0000
0.0000 4.9973 0.0000
0.0000 0.0000 20.0390
Pr Ho Zr
3 12 1
Direct
0.0000 0.0000 0.0000
0.0000 0.0000 0.2527
0.0000 0.0000 0.7473
0.0000 0.5000 0.1277
0.0000 0.5000 0.3846
0.0000 0.5000 0.6154
0.0000 0.5000 0.8723
0.5000 0.0000 0.1277
0.5000 0.0000 0.3846
0.5000 0.0000 0.6154
0.5000 0.0000 0.8723
0.5000 0.5000 0.0000
0.5000 0.5000 0.2550
0.5000 0.5000 0.5000
0.5000 0.5000 0.7450
0.0000 0.0000 0.5000
```


Record 11
A plane-wave DFT calculation with PBE was carried out for a geometry-optimized Al2WAu structure.

Properties
- E above lowest polymorph: 205 meV per atom
- E: -5.85 eV/atom
- Energy relative to the elements: 0.077 eV/atom
- Calculated volume: 15.51 Å³ per atom

Cell and atoms, written as POSCAR:
```
Al2WAu
1.0
6.2840 0.0000 0.0000
0.0000 6.2840 0.0000
0.0000 0.0000 6.2840
Al W Au
8 4 4
Direct
0.2500 0.2500 0.2500
0.2500 0.2500 0.7500
0.2500 0.7500 0.2500
0.2500 0.7500 0.7500
0.7500 0.2500 0.2500
0.7500 0.2500 0.7500
0.7500 0.7500 0.2500
0.7500 0.7500 0.7500
0.0000 0.0000 0.0000
0.0000 0.5000 0.5000
0.5000 0.0000 0.5000
0.5000 0.5000 0.0000
0.0000 0.0000 0.5000
0.0000 0.5000 0.0000
0.5000 0.0000 0.0000
0.5000 0.5000 0.5000
```


Record 12
A plane-wave DFT calculation with PBE was carried out for a geometry-optimized Pu3AlSi2 structure.

Properties
- Formation energy from raw total energies: -0.332 eV/atom
- E: -9.93 eV/atom
- Calculated volume: 19.29 Å³ per atom

Cell and atoms, written as POSCAR:
```
Pu3AlSi2
1.0
11.8159 0.0000 0.0000
0.0000 4.1617 0.0000
0.0000 0.0000 9.4139
Pu Al Si
12 4 8
Direct
0.0490 0.2500 0.0972
0.1842 0.7500 0.6423
0.2472 0.7500 0.2808
0.2528 0.2500 0.7808
0.3158 0.2500 0.1423
0.4510 0.7500 0.5972
0.5490 0.2500 0.4028
0.6842 0.7500 0.8577
0.7472 0.7500 0.2192
0.7528 0.2500 0.7192
0.8158 0.2500 0.3577
0.9510 0.7500 0.9028
0.0806 0.2500 0.4260
0.4194 0.7500 0.9260
0.5806 0.2500 0.0740
0.9194 0.7500 0.5740
0.0080 0.2500 0.6948
0.1965 0.7500 0.9751
0.3035 0.2500 0.4751
0.4920 0.7500 0.1948
0.5080 0.2500 0.8052
0.6965 0.7500 0.5249
0.8035 0.2500 0.0249
0.9920 0.7500 0.3052
```